(1)
DFT (GGA-PBE) results for a relaxed structure of Sr3HoC2N6.

The calculation puts the density at 4.941 g/cm³. The value obtained for the formation energy (no corrections) is -755 meV per atom.

Unit cell a=5.5967 b=5.5967 c=6.6393 alpha=90.00 beta=90.00 gamma=120.00
Fractional coordinates of all 12 atoms:
Sr  0.0000  0.0000  0.0000
Sr  0.3333  0.6667  0.6798
Sr  0.6667  0.3333  0.3202
Ho  0.0000  0.0000  0.5000
C  0.3333  0.6667  0.2745
C  0.6667  0.3333  0.7255
N  0.1922  0.3843  0.2837
N  0.1922  0.8078  0.2837
N  0.3843  0.1922  0.7163
N  0.6157  0.8078  0.2837
N  0.8078  0.1922  0.7163
N  0.8078  0.6157  0.7163



(2)
DFT (GGA-PBE) results for a relaxed structure of RbAgS2.

The calculation puts the density at 2.326 g/cm³. The distance to the lowest polymorph of the same formula comes out at 518 meV/atom. The value obtained for the formation energy (no corrections) is 41 meV per atom.

Unit cell a=7.8381 b=7.8381 c=7.8381 alpha=40.58 beta=40.58 gamma=40.58
Fractional coordinates of all 4 atoms:
Rb  0.0000  0.0000  0.0000
Ag  0.5000  0.5000  0.5000
S  0.3952  0.3952  0.3952
S  0.6048  0.6048  0.6048



(3)
DFT (GGA-PBE) results for a relaxed structure of CaTeAuSeS.

The calculation puts the density at 5.643 g/cm³. The distance to the lowest polymorph of the same formula comes out at 46 meV/atom. The value obtained for the formation energy (no corrections) is -711 meV per atom.

Unit cell a=8.5949 b=8.5949 c=4.2846 alpha=92.83 beta=92.83 gamma=26.29
Fractional coordinates of all 5 atoms:
Ca  0.0000  0.0000  0.0000
Te  0.2620  0.2620  0.1408
Au  0.6763  0.6763  0.8470
Se  0.5488  0.5488  0.5115
S  0.3808  0.3808  0.8527



(4)
DFT (GGA-PBE) results for a relaxed structure of Tc2OsW.

The calculation puts the density at 15.804 g/cm³. The distance to the lowest polymorph of the same formula comes out at 71 meV/atom. The value obtained for the formation energy is 131 meV/atom.

Unit cell a=9.2422 b=9.2422 c=9.2422 alpha=17.15 beta=17.15 gamma=17.15
Fractional coordinates of all 4 atoms:
Tc  0.0000  0.0000  0.0000
Tc  0.2539  0.2539  0.2539
Os  0.5029  0.5029  0.5029
W  0.7537  0.7537  0.7537



Which value of density does entry 3 give?
5.643 g/cm³



Which of these has the highest density?
Tc2OsW



Which value of density does entry 3 give?
5.643 g/cm³



Which of these has the highest density?
Tc2OsW